1.
An optimized crystal structure of Sr2FeW, computed with PBE.

- excess energy over the best structure of this formula in the dataset (meV per atom) = 209
- electronic total energy (eV/atom) = -5.482
- M_tot (μB/f.u.) = 0.0

Structure (CIF):
```
data_Sr2FeW
_chemical_formula_sum 'Sr4 Fe2 W2'
_space_group_name_H-M_alt 'C 1 2/m 1'
_space_group_IT_number 12
_cell_length_a 18.5761
_cell_length_b 3.2842
_cell_length_c 3.7181
_cell_angle_alpha 90.00
_cell_angle_beta 101.43
_cell_angle_gamma 90.00
loop_
_space_group_symop_operation_xyz
'x,y,z'
'-x,-y,-z'
'-x,y,-z'
'x,-y,z'
'x+1/2,y+1/2,z'
'-x+1/2,-y+1/2,-z'
'-x+1/2,y+1/2,-z'
'x+1/2,-y+1/2,z'
loop_
_atom_site_label
_atom_site_type_symbol
_atom_site_fract_x
_atom_site_fract_y
_atom_site_fract_z
_atom_site_occupancy
Sr1 Sr 0.1465 0.0000 0.1445 1
Fe1 Fe 0.0000 0.5000 0.0000 1
W1 W 0.0000 0.0000 0.5000 1
```

2.
An optimized crystal structure of PmCoB, computed with PBE.

- excess energy over the best structure of this formula in the dataset (meV per atom) = 0
- electronic total energy (eV/atom) = -6.601
- M_tot (μB/f.u.) = 0.0

Structure (CIF):
```
data_PmCoB
_chemical_formula_sum 'Pm2 Co2 B2'
_space_group_name_H-M_alt 'P 4/n m m'
_space_group_IT_number 129
_cell_length_a 3.5693
_cell_length_b 3.5693
_cell_length_c 7.9632
_cell_angle_alpha 90.00
_cell_angle_beta 90.00
_cell_angle_gamma 90.00
loop_
_space_group_symop_operation_xyz
'x,y,z'
'-x,-y,-z'
'-y+1/2,x,z'
'y+1/2,-x,-z'
'-x+1/2,-y+1/2,z'
'x+1/2,y+1/2,-z'
'y,-x+1/2,z'
'-y,x+1/2,-z'
'x+1/2,-y,-z'
'-x+1/2,y,z'
'-y,-x,-z'
'y,x,z'
'-x,y+1/2,-z'
'x,-y+1/2,z'
'y+1/2,x+1/2,-z'
'-y+1/2,-x+1/2,z'
loop_
_atom_site_label
_atom_site_type_symbol
_atom_site_fract_x
_atom_site_fract_y
_atom_site_fract_z
_atom_site_occupancy
Pm1 Pm 0.2500 0.2500 0.2046 1
Co1 Co 0.2500 0.7500 0.5000 1
B1 B 0.2500 0.2500 0.6188 1
```

3.
An optimized crystal structure of ZrGaOs, computed with PBE.

- electronic total energy (eV/atom) = -8.044
- M_tot (μB/f.u.) = 0.0

Structure (CIF):
```
data_ZrGaOs
_chemical_formula_sum 'Zr4 Ga4 Os4'
_space_group_name_H-M_alt 'C m c m'
_space_group_IT_number 63
_space_group_name_Hall '-C 2c 2'
_cell_length_a 4.1724
_cell_length_b 9.4493
_cell_length_c 5.3612
_cell_angle_alpha 90.00
_cell_angle_beta 90.00
_cell_angle_gamma 90.00
loop_
_atom_site_label
_atom_site_type_symbol
_atom_site_fract_x
_atom_site_fract_y
_atom_site_fract_z
_atom_site_occupancy
Zr1 Zr 0.0000 0.2176 0.2500 1
Ga1 Ga 0.0000 0.5000 0.0000 1
Os1 Os 0.0000 0.0921 0.7500 1
```

4.
An optimized crystal structure of Ca8Cd2Ru, computed with PBE.

- electronic total energy (eV/atom) = -2.556
- M_tot (μB/f.u.) = 0.0

Structure (CIF):
```
data_Ca8Cd2Ru
_chemical_formula_sum 'Ca16 Cd4 Ru2'
_space_group_name_H-M_alt 'C 1 m 1'
_space_group_IT_number 8
_cell_length_a 8.6659
_cell_length_b 15.4575
_cell_length_c 6.5688
_cell_angle_alpha 90.00
_cell_angle_beta 123.98
_cell_angle_gamma 90.00
loop_
_space_group_symop_operation_xyz
'x,y,z'
'x,-y,z'
'x+1/2,y+1/2,z'
'x+1/2,-y+1/2,z'
loop_
_atom_site_label
_atom_site_type_symbol
_atom_site_fract_x
_atom_site_fract_y
_atom_site_fract_z
_atom_site_occupancy
Ca1 Ca 0.0000 0.0000 0.0000 1
Ca2 Ca 0.0346 0.3849 0.8726 1
Ca3 Ca 0.0405 0.1171 0.5254 1
Ca4 Ca 0.0943 0.5000 0.3971 1
Ca5 Ca 0.2987 0.1828 0.1660 1
Cd1 Cd 0.2816 0.3018 0.6866 1
Ru1 Ru 0.2856 0.0000 0.9218 1
```